Here is a geometry-optimized KLaCrAg2 structure from Alexandria via LeMat-Bulk. Energies are from PBE-GGA.

Cell and atoms, written as CIF:
```
data_KLaCrAg2
_chemical_formula_sum 'K1 La1 Cr1 Ag2'
_symmetry_space_group_name_H-M 'P 1'
_symmetry_Int_Tables_number 1
_cell_length_a 5.6139
_cell_length_b 6.5312
_cell_length_c 5.6139
_cell_angle_alpha 90.00
_cell_angle_beta 90.00
_cell_angle_gamma 90.00
loop_
_symmetry_equiv_pos_as_xyz
'x,y,z'
loop_
_atom_site_label
_atom_site_fract_x
_atom_site_fract_y
_atom_site_fract_z
K1 0.0000 0.5000 0.0000
Cr1 0.5000 0.5000 0.5000
La1 0.0000 0.0000 0.0000
Ag1 0.0000 0.0000 0.5000
Ag2 0.5000 0.0000 0.0000
```

## Properties
- DFT formation energy (eV per atom) = 1.2926

---

Here is a geometry-optimized PrCd2I8 structure from Alexandria via LeMat-Bulk. Energies are from PBE-GGA.

Cell and atoms, written as CIF:
```
data_PrCd2I8
_chemical_formula_sum 'Pr1 Cd2 I8'
_symmetry_space_group_name_H-M 'P 1'
_symmetry_Int_Tables_number 1
_cell_length_a 6.9762
_cell_length_b 9.0329
_cell_length_c 9.0329
_cell_angle_alpha 93.53
_cell_angle_beta 87.49
_cell_angle_gamma 87.49
loop_
_symmetry_equiv_pos_as_xyz
'x,y,z'
loop_
_atom_site_label
_atom_site_fract_x
_atom_site_fract_y
_atom_site_fract_z
I1 0.2308 0.2878 0.9478
I2 0.7450 0.5297 0.5297
I3 0.2550 0.4703 0.4703
I4 0.7457 0.2197 0.2197
I5 0.2308 0.9478 0.2878
I6 0.7692 0.0522 0.7122
I7 0.2543 0.7803 0.7803
I8 0.7692 0.7122 0.0522
Pr1 0.0000 0.0000 0.0000
Cd1 0.3374 0.2427 0.2427
Cd2 0.6626 0.7573 0.7573
```

## Properties
- formation energy without anion corrections (kJ per mole of atoms) = -74.0

---

Computed D(E_F) (states/eV per cell) in order:
3.7, 1.3
Computed DFT total energy (eV for the cell shown) in order:
-14.9, -27.5
Computed calculated volume (A^3/atom) in order:
41.2, 51.5